This record from Alexandria via LeMat-Bulk describes crystalline Pu3Ta5N12 at its relaxed geometry. The functional is PBE.

abc: 11.1788 11.1788 11.1788
angles: 109.47 109.47 109.47
Closest atoms and distances in Å follow each position.
Element x y z (fractional)
Pu 0.1250 0.2500 0.3750  8 N 2.46-2.54
Pu 0.1250 0.3750 0.7500  8 N 2.46-2.54
Pu 0.2500 0.3750 0.1250  8 N 2.46-2.54
Pu 0.2500 0.8750 0.6250  8 N 2.46-2.54
Pu 0.3750 0.1250 0.2500  8 N 2.46-2.54
Pu 0.3750 0.7500 0.1250  8 N 2.46-2.54
Pu 0.6250 0.2500 0.8750  8 N 2.46-2.54
Pu 0.6250 0.8750 0.7500  8 N 2.46-2.54
Pu 0.7500 0.1250 0.3750  8 N 2.46-2.54
Pu 0.7500 0.6250 0.8750  8 N 2.46-2.54
Pu 0.8750 0.6250 0.2500  8 N 2.46-2.54
Pu 0.8750 0.7500 0.6250  8 N 2.46-2.54
Ta 0.0000 0.0000 0.0000  6 N 2.10
Ta 0.0000 0.0000 0.5000  6 N 2.10
Ta 0.0000 0.5000 0.0000  6 N 2.10
Ta 0.0000 0.5000 0.5000  6 N 2.10
Ta 0.1250 0.7500 0.8750  4 N 1.94
Ta 0.1250 0.8750 0.2500  4 N 1.94
Ta 0.2500 0.1250 0.8750  4 N 1.94
Ta 0.2500 0.6250 0.3750  4 N 1.94
Ta 0.3750 0.2500 0.6250  4 N 1.94
Ta 0.3750 0.6250 0.7500  4 N 1.94
Ta 0.5000 0.0000 0.0000  6 N 2.10
Ta 0.5000 0.0000 0.5000  6 N 2.10
Ta 0.5000 0.5000 0.0000  6 N 2.10
Ta 0.5000 0.5000 0.5000  6 N 2.10
Ta 0.6250 0.3750 0.2500  4 N 1.94
Ta 0.6250 0.7500 0.3750  4 N 1.94
Ta 0.7500 0.3750 0.6250  4 N 1.94
Ta 0.7500 0.8750 0.1250  4 N 1.94
Ta 0.8750 0.1250 0.7500  4 N 1.94
Ta 0.8750 0.2500 0.1250  4 N 1.94
N 0.0290 0.2069 0.1228  2 Ta 1.94-2.10
N 0.0290 0.3222 0.9062  2 Ta 1.94-2.10
N 0.0840 0.7069 0.6778  2 Ta 1.94-2.10
N 0.0840 0.8772 0.4062  2 Ta 1.94-2.10
N 0.0938 0.6228 0.4160  2 Ta 1.94-2.10
N 0.0938 0.9710 0.6778  2 Ta 1.94-2.10
N 0.1228 0.0290 0.2069  2 Ta 1.94-2.10
N 0.1228 0.5938 0.9160  2 Ta 1.94-2.10
N 0.1778 0.2069 0.5840  2 Ta 1.94-2.10
N 0.1778 0.4710 0.5938  2 Ta 1.94-2.10
N 0.2069 0.1228 0.0290  2 Ta 1.94-2.10
N 0.2069 0.5840 0.1778  2 Ta 1.94-2.10
N 0.2931 0.3222 0.9160  2 Ta 1.94-2.10
N 0.2931 0.4710 0.3772  2 Ta 1.94-2.10
N 0.3222 0.9062 0.0290  2 Ta 1.94-2.10
N 0.3222 0.9160 0.2931  2 Ta 1.94-2.10
N 0.3772 0.2931 0.4710  2 Ta 1.94-2.10
N 0.3772 0.5840 0.9062  2 Ta 1.94-2.10
N 0.4062 0.0840 0.8772  2 Ta 1.94-2.10
N 0.4062 0.8222 0.5290  2 Ta 1.94-2.10
N 0.4160 0.0938 0.6228  2 Ta 1.94-2.10
N 0.4160 0.8222 0.7931  2 Ta 1.94-2.10
N 0.4710 0.3772 0.2931  2 Ta 1.94-2.10
N 0.4710 0.5938 0.1778  2 Ta 1.94-2.10
N 0.5290 0.4062 0.8222  2 Ta 1.94-2.10
N 0.5290 0.6228 0.7069  2 Ta 1.94-2.10
N 0.5840 0.1778 0.2069  2 Ta 1.94-2.10
N 0.5840 0.9062 0.3772  2 Ta 1.94-2.10
N 0.5938 0.1778 0.4710  2 Ta 1.94-2.10
N 0.5938 0.9160 0.1228  2 Ta 1.94-2.10
N 0.6228 0.4160 0.0938  2 Ta 1.94-2.10
N 0.6228 0.7069 0.5290  2 Ta 1.94-2.10
N 0.6778 0.0840 0.7069  2 Ta 1.94-2.10
N 0.6778 0.0938 0.9710  2 Ta 1.94-2.10
N 0.7069 0.5290 0.6228  2 Ta 1.94-2.10
N 0.7069 0.6778 0.0840  2 Ta 1.94-2.10
N 0.7931 0.4160 0.8222  2 Ta 1.94-2.10
N 0.7931 0.8772 0.9710  2 Ta 1.94-2.10
N 0.8222 0.5290 0.4062  2 Ta 1.94-2.10
N 0.8222 0.7931 0.4160  2 Ta 1.94-2.10
N 0.8772 0.4062 0.0840  2 Ta 1.94-2.10
N 0.8772 0.9710 0.7931  2 Ta 1.94-2.10
N 0.9062 0.0290 0.3222  2 Ta 1.94-2.10
N 0.9062 0.3772 0.5840  2 Ta 1.94-2.10
N 0.9160 0.1228 0.5938  2 Ta 1.94-2.10
N 0.9160 0.2931 0.3222  2 Ta 1.94-2.10
N 0.9710 0.6778 0.0938  2 Ta 1.94-2.10
N 0.9710 0.7931 0.8772  2 Ta 1.94-2.10

* formation energy without anion corrections: -1.086 eV per atom
* crystal system: cubic
* theoretical density: 11.15 g/cm³